Record 1
Density functional theory data (PBE-GGA) for crystalline Nd4Sm2Tm3 at its relaxed geometry.

The structure in POSCAR format:
```
Nd4Sm2Tm3
1.0
5.6885 -2.5544 0.0000
5.6885 2.5544 0.0000
-3.3671 0.0000 10.2664
Nd Sm Tm
4 2 3
Cartesian
-1.1068 0.0000 3.4299
3.4187 0.0000 1.1500
4.5912 0.0000 9.1164
9.1167 0.0000 6.8365
1.1677 0.0000 7.9588
6.8422 0.0000 2.3076
0.0000 0.0000 0.0000
2.3002 0.0000 4.5837
5.7096 0.0000 5.6828
```

Calculated values
density of states at the Fermi level: 11.89 states/eV/f.u.
SG: C2/m
E_tot: -41.76 eV/cell
ΔE_f: 0.17 eV per formula unit

=====

Record 2
Density functional theory data (PBE-GGA) for crystalline Nd3SmTm7 at its relaxed geometry.

The structure in POSCAR format:
```
Nd3SmTm7
1.0
6.9558 0.0000 0.0000
0.0000 5.4881 0.0000
-3.4360 0.0000 9.3705
Nd Sm Tm
3 1 7
Cartesian
0.0000 0.0000 0.0000
0.2569 2.7441 4.6709
3.2629 2.7441 4.6996
3.4779 0.0000 0.0000
-1.7180 0.0000 4.6853
-1.6921 2.7441 7.3915
1.7487 2.7441 1.3006
1.7786 0.0000 3.0924
1.7412 0.0000 6.2781
1.7711 2.7441 8.0699
5.2119 2.7441 1.9791
```

Calculated values
density of states at the Fermi level: 17.18 states/eV/f.u.
SG: P2/m
E_tot: -48.58 eV/cell
ΔE_f: 1.74 eV per formula unit

=====

Record 3
Density functional theory data (PBE-GGA) for crystalline Nd2SmTm8 at its relaxed geometry.

The structure in POSCAR format:
```
Nd2SmTm8
1.0
8.2218 -3.2844 0.0000
8.2218 3.2844 0.0000
-1.1429 0.0000 6.5253
Nd Sm Tm
2 1 8
Cartesian
3.6723 0.0000 2.0145
11.6284 0.0000 4.5108
0.0000 0.0000 0.0000
6.1093 1.5658 3.8926
2.4091 0.0000 5.2242
9.1914 1.5658 2.6328
6.6647 0.0000 0.6232
8.6360 0.0000 5.9021
6.1093 -1.5658 3.8926
12.8917 0.0000 1.3011
9.1914 -1.5658 2.6328
```

Calculated values
density of states at the Fermi level: 16.59 states/eV/f.u.
SG: C2/m
E_tot: -48.08 eV/cell
ΔE_f: 1.95 eV per formula unit

=====

Record 4
Density functional theory data (PBE-GGA) for crystalline Nd7Sm2Tm3 at its relaxed geometry.

The structure in POSCAR format:
```
Nd7Sm2Tm3
1.0
6.4795 0.0000 0.0000
0.0000 3.5705 0.0000
-1.7847 0.0000 17.5306
Nd Sm Tm
7 2 3
Cartesian
0.0000 0.0000 0.0000
1.1673 1.7853 3.0110
0.7890 1.7853 8.6712
0.3112 0.0000 14.6396
4.3837 0.0000 2.8910
3.9058 1.7853 8.8594
3.5275 1.7853 14.5196
-0.8149 1.7853 11.7551
5.5097 1.7853 5.7755
2.3495 0.0000 5.9858
3.2398 1.7853 0.0000
2.3453 0.0000 11.5448
```

Calculated values
density of states at the Fermi level: 17.50 states/eV/f.u.
SG: P2/m
E_tot: -55.43 eV/cell
ΔE_f: 0.79 eV per formula unit

=====

Record 5
Density functional theory data (PBE-GGA) for crystalline Nd4SmTm6 at its relaxed geometry.

The structure in POSCAR format:
```
Nd4SmTm6
1.0
10.9603 0.0000 0.0000
-5.4802 9.4919 0.0000
0.0000 0.0000 3.5188
Nd Sm Tm
4 1 6
Cartesian
0.0000 0.0000 0.0000
-2.2185 5.0471 1.7594
2.2185 5.0471 1.7594
0.0000 8.8897 1.7594
5.4802 3.1640 0.0000
0.0000 3.0787 0.0000
-2.8139 7.9526 0.0000
2.6814 1.5481 1.7594
2.8139 7.9526 0.0000
8.2790 1.5481 1.7594
5.4802 6.3957 1.7594
```

Calculated values
density of states at the Fermi level: 15.75 states/eV/f.u.
SG: P-6m2
E_tot: -48.89 eV/cell
ΔE_f: 1.73 eV per formula unit

=====

Record 6
Density functional theory data (PBE-GGA) for crystalline NdSm14Tm at its relaxed geometry.

The structure in POSCAR format:
```
NdSm14Tm
1.0
11.7175 0.0000 0.0000
0.0000 3.6379 6.2995
0.0000 -3.6379 6.2995
Nd Sm Tm
1 14 1
Cartesian
0.0000 0.0000 0.0000
0.0000 -1.8111 3.1381
0.0000 1.8111 3.1381
2.9061 0.0000 8.3887
2.9152 -1.8136 5.2451
2.9152 1.8136 5.2451
2.9467 0.0000 2.0956
5.8587 0.0000 4.2004
5.8587 -1.8142 7.3447
5.8587 1.8142 7.3447
5.8587 0.0000 10.4948
8.7707 0.0000 2.0956
8.8023 -1.8136 5.2451
8.8023 1.8136 5.2451
8.8114 0.0000 8.3887
0.0000 0.0000 6.2896
```

Calculated values
density of states at the Fermi level: 16.27 states/eV/f.u.
SG: Amm2
E_tot: -75.30 eV/cell
ΔE_f: 0.00 eV per formula unit

=====

Record 7
Density functional theory data (PBE-GGA) for crystalline Nd12Sm2Tm5 at its relaxed geometry.

The structure in POSCAR format:
```
Nd12Sm2Tm5
1.0
6.5124 -5.8491 0.0000
6.5124 5.8491 0.0000
-4.1804 0.0000 8.4818
Nd Sm Tm
12 2 5
Cartesian
1.0435 2.8560 5.9215
-0.1788 0.0000 2.4280
4.7582 3.2873 0.7043
4.0862 3.2873 7.7775
2.6686 0.0000 4.7452
7.8008 2.8560 2.5603
1.0435 -2.8560 5.9215
6.1758 0.0000 3.7366
4.7582 -3.2873 0.7043
4.0862 -3.2873 7.7775
9.0232 0.0000 6.0537
7.8008 -2.8560 2.5603
4.4222 3.2221 4.2409
4.4222 -3.2221 4.2409
-0.5970 0.0000 6.2274
3.2834 0.0000 1.3600
6.5124 0.0000 0.0000
5.5610 0.0000 7.1217
9.4414 0.0000 2.2544
```

Calculated values
density of states at the Fermi level: 26.48 states/eV/f.u.
SG: C2/m
E_tot: -86.91 eV/cell
ΔE_f: 2.10 eV per formula unit

=====

Record 8
Density functional theory data (PBE-GGA) for crystalline Nd4SmTm15 at its relaxed geometry.

The structure in POSCAR format:
```
Nd4SmTm15
1.0
5.0037 0.0000 0.0000
0.0000 5.0037 0.0000
0.0000 0.0000 24.8900
Nd Sm Tm
4 1 15
Cartesian
0.0000 0.0000 2.4909
0.0000 0.0000 7.4710
0.0000 0.0000 17.4190
0.0000 0.0000 22.3991
0.0000 0.0000 12.4450
0.0000 2.5019 0.0000
0.0000 2.5019 4.9820
0.0000 2.5019 9.9692
0.0000 2.5019 14.9208
0.0000 2.5019 19.9081
2.5019 0.0000 0.0000
2.5019 0.0000 4.9820
2.5019 0.0000 9.9692
2.5019 0.0000 14.9208
2.5019 0.0000 19.9081
2.5019 2.5019 2.4904
2.5019 2.5019 7.4758
2.5019 2.5019 12.4450
2.5019 2.5019 17.4143
2.5019 2.5019 22.3996
```

Calculated values
density of states at the Fermi level: 28.39 states/eV/f.u.
SG: P4/mmm
E_tot: -90.32 eV/cell
ΔE_f: 0.54 eV per formula unit